1.
DFT (GGA-PBE) results for an optimized crystal structure of PmPu3C3.

Unit cell a=6.2873 b=6.2873 c=7.8805 alpha=66.49 beta=66.49 gamma=60.00
Fractional coordinates of all 14 atoms:
1 Pm 0.3327 0.3327 0.0020
2 Pm 0.6673 0.6673 0.9980
3 Pu 0.4579 0.8144 0.5871
4 Pu 0.8144 0.1406 0.5871
5 Pu 0.1406 0.4579 0.5871
6 Pu 0.8594 0.5421 0.4129
7 Pu 0.1856 0.8594 0.4129
8 Pu 0.5421 0.1856 0.4129
9 C 0.2851 0.5487 0.2457
10 C 0.9206 0.2851 0.2457
11 C 0.5487 0.9206 0.2457
12 C 0.4513 0.0794 0.7543
13 C 0.0794 0.7149 0.7543
14 C 0.7149 0.4513 0.7543

SG = R-3
formation enthalpy at 0 K = 0.364 eV per atom

2.
DFT (GGA-PBE) results for an optimized crystal structure of Pm3PuC4.

Unit cell a=3.9415 b=5.0782 c=7.6318 alpha=109.45 beta=104.96 gamma=90.00
Fractional coordinates of all 8 atoms:
1 Pm 0.0000 0.5000 0.0000
2 Pm 0.1874 0.1875 0.3749
3 Pm 0.8126 0.8125 0.6251
4 Pu 0.5000 0.0000 0.0000
5 C 0.3737 0.5108 0.7475
6 C 0.6263 0.4892 0.2525
7 C 0.6263 0.7636 0.2526
8 C 0.3737 0.2364 0.7474

SG = Immm
formation enthalpy at 0 K = -0.012 eV per atom

3.
DFT (GGA-PBE) results for an optimized crystal structure of PmPu3C.

Unit cell a=4.9503 b=4.9503 c=4.9503 alpha=90.00 beta=90.00 gamma=90.00
Fractional coordinates of all 5 atoms:
1 C 0.0000 0.0000 0.0000
2 Pm 0.5000 0.5000 0.5000
3 Pu 0.0000 0.5000 0.0000
4 Pu 0.0000 0.0000 0.5000
5 Pu 0.5000 0.0000 0.0000

SG = Pm-3m
formation enthalpy at 0 K = 0.221 eV per atom

4.
DFT (GGA-PBE) results for an optimized crystal structure of PmPuC2.

Unit cell a=3.6161 b=3.6161 c=6.1641 alpha=72.94 beta=72.94 gamma=60.00
Fractional coordinates of all 4 atoms:
1 C 0.7650 0.7650 0.7050
2 C 0.2350 0.2350 0.2950
3 Pm 0.0000 0.0000 0.0000
4 Pu 0.5000 0.5000 0.5000

SG = R-3m
formation enthalpy at 0 K = 0.079 eV per atom

5.
DFT (GGA-PBE) results for an optimized crystal structure of Pm3PuC3.

Unit cell a=6.4880 b=6.4880 c=6.7786 alpha=90.58 beta=90.58 gamma=112.02
Fractional coordinates of all 14 atoms:
1 Pm 0.6430 0.6430 0.3546
2 Pm 0.1803 0.8197 0.5000
3 Pm 0.8197 0.1803 0.5000
4 Pm 0.2301 0.7699 0.0000
5 Pm 0.7699 0.2301 0.0000
6 Pm 0.3570 0.3570 0.6454
7 Pu 0.7626 0.7626 0.8927
8 Pu 0.2374 0.2374 0.1073
9 C 0.9527 0.9527 0.2138
10 C 0.8204 0.5168 0.6928
11 C 0.5168 0.8204 0.6928
12 C 0.1796 0.4832 0.3072
13 C 0.4832 0.1796 0.3072
14 C 0.0473 0.0473 0.7862

SG = C2/m
formation enthalpy at 0 K = 0.138 eV per atom

6.
DFT (GGA-PBE) results for an optimized crystal structure of PmPu2ReC4.

Unit cell a=3.5076 b=6.1812 c=12.2975 alpha=90.00 beta=90.00 gamma=106.48
Fractional coordinates of all 16 atoms:
1 Pm 0.1033 0.2066 0.7500
2 Pm 0.8967 0.7934 0.2500
3 Pu 0.3697 0.7393 0.5380
4 Pu 0.6303 0.2607 0.0380
5 Pu 0.6303 0.2607 0.4620
6 Pu 0.3697 0.7393 0.9620
7 Re 0.8397 0.6793 0.7500
8 Re 0.1603 0.3207 0.2500
9 C 0.2594 0.5188 0.1269
10 C 0.7406 0.4812 0.6269
11 C 0.7406 0.4812 0.8731
12 C 0.2594 0.5188 0.3731
13 C 0.0000 0.0000 0.5000
14 C 0.0000 0.0000 0.0000
15 C 0.4277 0.8555 0.7500
16 C 0.5723 0.1445 0.2500

SG = Cmcm
formation enthalpy at 0 K = 0.052 eV per atom

7.
DFT (GGA-PBE) results for an optimized crystal structure of Pm2Pu2Sb2C.

Unit cell a=4.7411 b=4.7411 c=8.9196 alpha=105.41 beta=105.41 gamma=90.00
Fractional coordinates of all 7 atoms:
1 Pm 0.1623 0.1623 0.3246
2 Pm 0.8377 0.8377 0.6754
3 Pu 0.0000 0.5000 0.0000
4 Pu 0.5000 0.0000 0.0000
5 Sb 0.3591 0.3591 0.7182
6 Sb 0.6409 0.6409 0.2818
7 C 0.0000 0.0000 0.0000

E_form (uncorrected) = -667.9 meV/atom
SG = I4/mmm

8.
DFT (GGA-PBE) results for an optimized crystal structure of Pm2PuSnC.

Unit cell a=4.7619 b=5.1082 c=5.1082 alpha=90.00 beta=90.00 gamma=90.00
Fractional coordinates of all 5 atoms:
1 Pm 0.0000 0.0000 0.5000
2 Pm 0.0000 0.5000 0.0000
3 Pu 0.5000 0.0000 0.0000
4 Sn 0.5000 0.5000 0.5000
5 C 0.0000 0.0000 0.0000

SG = P4/mmm
formation enthalpy at 0 K = -0.410 eV per atom

9.
DFT (GGA-PBE) results for an optimized crystal structure of Pm2PuTlC.

Unit cell a=4.7091 b=5.1605 c=5.1605 alpha=90.00 beta=90.00 gamma=90.00
Fractional coordinates of all 5 atoms:
1 Pm 0.0000 0.0000 0.5000
2 Pm 0.0000 0.5000 0.0000
3 Pu 0.5000 0.0000 0.0000
4 Tl 0.5000 0.5000 0.5000
5 C 0.0000 0.0000 0.0000

SG = P4/mmm
formation enthalpy at 0 K = -0.207 eV per atom

10.
DFT (GGA-PBE) results for an optimized crystal structure of RbPm2C.

Unit cell a=3.7452 b=3.7452 c=11.3709 alpha=80.52 beta=80.52 gamma=60.00
Fractional coordinates of all 4 atoms:
1 C 0.5000 0.5000 0.5000
2 Rb 0.0000 0.0000 0.0000
3 Pm 0.1255 0.1255 0.6234
4 Pm 0.8745 0.8745 0.3766

SG = R-3m
formation enthalpy at 0 K = 0.076 eV per atom

11.
DFT (GGA-PBE) results for an optimized crystal structure of Pm2ReC.

Unit cell a=3.3705 b=3.3705 c=8.9628 alpha=79.16 beta=79.16 gamma=60.00
Fractional coordinates of all 4 atoms:
1 Re 0.0000 0.0000 0.0000
2 C 0.5000 0.5000 0.5000
3 Pm 0.1101 0.1101 0.6696
4 Pm 0.8899 0.8899 0.3304

SG = R-3m
formation enthalpy at 0 K = 0.921 eV per atom

12.
DFT (GGA-PBE) results for an optimized crystal structure of PmRe4C2.

Unit cell a=3.9483 b=3.9604 c=7.2534 alpha=105.84 beta=90.00 gamma=90.00
Fractional coordinates of all 7 atoms:
1 Pm 0.0000 0.0000 0.0000
2 Re 0.5000 0.8225 0.6450
3 Re 0.0000 0.6859 0.3719
4 Re 0.5000 0.1775 0.3550
5 Re 0.0000 0.3141 0.6281
6 C 0.5000 0.6312 0.2624
7 C 0.5000 0.3688 0.7376

SG = Cmmm
formation enthalpy at 0 K = 0.148 eV per atom

In the order shown, the computed spin magnetization values come out to 0.0, 5.8, 16.1, 3.2, 9.4, 18.5, 11.4, 5.7, 5.3, 0.0, 0.0, 0.0 μB/cell.
In the order shown, the computed N(E_F) values come out to 18.898, 8.873, 16.186, 8.596, 12.423, 26.151, 9.354, 8.784, 9.335, 3.425, 3.531, 2.397 states/eV per cell.